First-principles (PBE) data for Y2MnSi3Ir4 after structural relaxation, as listed in Alexandria via LeMat-Bulk.

Unit cell a=4.0867 b=4.0867 c=10.1654 alpha=90.00 beta=90.00 gamma=90.00
Sites, in units of the cell vectors:
Y  0.0000  0.5000  0.2479
Y  0.5000  0.0000  0.7521
Mn  0.0000  0.0000  0.5000
Si  0.0000  0.5000  0.8714
Si  0.5000  0.0000  0.1286
Si  0.5000  0.5000  0.5000
Ir  0.0000  0.0000  0.0000
Ir  0.0000  0.5000  0.6373
Ir  0.5000  0.0000  0.3627
Ir  0.5000  0.5000  0.0000

Summary:
The space group is P-4m2, No. 115. As for the total magnetization: 2.97 μB per formula unit. The energy relative to the elements, uncorrected comes out at -0.927 eV/atom.

=====

First-principles (PBE) data for PrSc2Al after structural relaxation, as listed in Alexandria via LeMat-Bulk.

Unit cell a=4.6236 b=4.6236 c=4.6115 alpha=90.00 beta=90.00 gamma=90.00
Sites, in units of the cell vectors:
Pr  0.0000  0.0000  0.0000
Sc  0.0000  0.5000  0.5000
Sc  0.5000  0.0000  0.5000
Al  0.5000  0.5000  0.0000

Summary:
The space group is P4/mmm, No. 123. The calculation puts the offset from the most stable computed form at 37 meV/atom. As for the total magnetization: 0.01 μB per formula unit.

=====

First-principles (PBE) data for AlBiBC2 after structural relaxation, as listed in Alexandria via LeMat-Bulk.

Unit cell a=4.4099 b=4.4099 c=5.9239 alpha=90.00 beta=90.00 gamma=90.00
Sites, in units of the cell vectors:
Al  0.0000  0.0000  0.0000
Bi  0.0000  0.0000  0.5000
B  0.5000  0.5000  0.0000
C  0.0000  0.5000  0.5000
C  0.5000  0.0000  0.5000

Summary:
The space group is P4/mmm, No. 123. The calculation puts the offset from the most stable computed form at 1311 meV/atom. As for the total magnetization: 0.94 μB per formula unit.

=====

First-principles (PBE) data for Fe2ReSe after structural relaxation, as listed in Alexandria via LeMat-Bulk.

Unit cell a=4.6242 b=4.6242 c=2.8384 alpha=90.00 beta=90.00 gamma=115.50
Sites, in units of the cell vectors:
Fe  0.0000  0.5000  0.0000
Fe  0.5000  0.0000  0.0000
Re  0.0000  0.0000  0.5000
Se  0.5000  0.5000  0.5000

Summary:
The space group is Cmmm, No. 65. As for the total magnetization: 4.31 μB per formula unit. The energy relative to the elements, uncorrected comes out at 0.441 eV/atom.

=====

First-principles (PBE) data for LiLaCdAg2 after structural relaxation, as listed in Alexandria via LeMat-Bulk.

Unit cell a=7.3493 b=7.3493 c=7.3493 alpha=147.16 beta=147.16 gamma=47.12
Sites, in units of the cell vectors:
Li  0.0000  0.0000  0.0000
La  0.2500  0.7500  0.5000
Cd  0.5000  0.5000  0.0000
Ag  0.6450  0.1450  0.5000
Ag  0.8550  0.3550  0.5000

Summary:
The space group is I-4m2, No. 119. The calculation puts the offset from the most stable computed form at 0 meV/atom. As for the total magnetization: 0.00 μB per formula unit.

=====

First-principles (PBE) data for MgNb2ReGe after structural relaxation, as listed in Alexandria via LeMat-Bulk.

Unit cell a=4.7479 b=4.7479 c=4.3618 alpha=90.00 beta=90.00 gamma=90.00
Sites, in units of the cell vectors:
Mg  0.0000  0.0000  0.0000
Nb  0.0000  0.5000  0.0000
Nb  0.5000  0.0000  0.0000
Re  0.5000  0.5000  0.5000
Ge  0.0000  0.0000  0.5000

Summary:
The space group is P4/mmm, No. 123. As for the total magnetization: 1.02 μB per formula unit. The calculation puts the energy at -5.853 eV per atom.